# 1
A plane-wave DFT calculation with GGA-PBE was carried out for a relaxed Pa2GeIr crystal.

The space group is P2_1/m (No. 11) and the conventional cell measures 5.8852, 3.9889 and 8.0676 Å, with angles of 90.00, 109.19 and 90.00 degrees. The distinct sites, in fractional coordinates, are Pa at (0.1890, 0.2500, 0.4071), Pa at (0.2785, 0.7500, 0.0656), Ge at (0.3693, 0.7500, 0.6987) and Ir at (0.1223, 0.2500, 0.8018).

Its energy above the most stable polymorph in this dataset is 0 meV per atom.

***

# 2
A plane-wave DFT calculation with GGA-PBE was carried out for a relaxed Pa2GeIr3 crystal.

The space group is Fmmm (No. 69) and the conventional cell measures 7.1577, 9.5852 and 14.0734 Å, with angles of 90.00, 90.00 and 90.00 degrees. The distinct sites, in fractional coordinates, are Pa at (0.2471, 0.0000, 0.0000), Pa at (0.2500, 0.2500, 0.2500), Ge at (0.0000, 0.0000, 0.1800), Ir at (0.0000, 0.0000, 0.3561) and Ir at (0.0000, 0.2271, 0.0974).

***

# 3
A plane-wave DFT calculation with GGA-PBE was carried out for a relaxed Pa2GeIr crystal.

The space group is R-3m (No. 166, hexagonal axes) and the conventional cell measures 4.5422, 4.5422 and 15.1532 Å, with angles of 90.00, 90.00 and 120.00 degrees. The distinct sites, in fractional coordinates, are Pa at (0.0000, 0.0000, 0.2444), Ge at (0.0000, 0.0000, 0.0000) and Ir at (0.0000, 0.0000, 0.5000).

Its energy above the most stable polymorph in this dataset is 258 meV per atom.

***

# 4
A plane-wave DFT calculation with GGA-PBE was carried out for a relaxed Pa2Ge5Ir3 crystal.

The space group is Cmc2_1 (No. 36) and the conventional cell measures 4.3127, 24.4511 and 6.8919 Å, with angles of 90.00, 90.00 and 90.00 degrees. The distinct sites, in fractional coordinates, are Pa at (0.0000, 0.0204, 0.0000), Pa at (0.0000, 0.3258, 0.0173), Ge at (0.0000, 0.1025, 0.3568), Ge at (0.0000, 0.2067, 0.8256), Ge at (0.0000, 0.2111, 0.2394), Ge at (0.0000, 0.3790, 0.4867), Ge at (0.0000, 0.4494, 0.1654), Ir at (0.0000, 0.1052, 0.7403), Ir at (0.0000, 0.2767, 0.5404) and Ir at (0.0000, 0.4471, 0.7817).

Its energy above the most stable polymorph in this dataset is 0 meV per atom.

***

# 5
A plane-wave DFT calculation with GGA-PBE was carried out for a relaxed Pa4GeIr crystal.

The space group is P2_1/c (No. 14) and the conventional cell measures 6.6580, 6.7496 and 7.2083 Å, with angles of 90.00, 102.94 and 90.00 degrees. The distinct sites, in fractional coordinates, are Pa at (0.1140, 0.1314, 0.3799), Pa at (0.3046, 0.6614, 0.2782), Ge at (0.0000, 0.0000, 0.0000) and Ir at (0.5000, 0.0000, 0.5000).

***

# 6
A plane-wave DFT calculation with GGA-PBE was carried out for a relaxed Pa5Ge5Ir2 crystal.

The space group is C2/m (No. 12) and the conventional cell measures 15.1633, 4.1200 and 11.0934 Å, with angles of 90.00, 131.72 and 90.00 degrees. The distinct sites, in fractional coordinates, are Pa at (0.0000, 0.0000, 0.0000), Pa at (0.1279, 0.5000, 0.8046), Pa at (0.2000, 0.5000, 0.5953), Ge at (0.0000, 0.0000, 0.5000), Ge at (0.0531, 0.0000, 0.3175), Ge at (0.1992, 0.5000, 0.1215) and Ir at (0.1180, 0.5000, 0.2645).

***

# 7
A plane-wave DFT calculation with GGA-PBE was carried out for a relaxed Pa2Ge3Ir crystal.

The space group is Fmmm (No. 69) and the conventional cell measures 7.8825, 8.4786 and 14.6340 Å, with angles of 90.00, 90.00 and 90.00 degrees. The distinct sites, in fractional coordinates, are Pa at (0.2444, 0.0000, 0.0000), Pa at (0.2500, 0.2500, 0.2500), Ge at (0.0000, 0.0000, 0.3308), Ge at (0.0000, 0.2465, 0.4164) and Ir at (0.0000, 0.0000, 0.1638).

***

# 8
A plane-wave DFT calculation with GGA-PBE was carried out for a relaxed PaGe3Ir crystal.

The space group is Pmn2_1 (No. 31) and the conventional cell measures 6.0687, 5.5878 and 5.8308 Å, with angles of 90.00, 90.00 and 90.00 degrees. The distinct sites, in fractional coordinates, are Pa at (0.0000, 0.1342, 0.0000), Ge at (0.0000, 0.9185, 0.5449), Ge at (0.2335, 0.3130, 0.4389) and Ir at (0.0000, 0.6148, 0.2436).

***

# 9
A plane-wave DFT calculation with GGA-PBE was carried out for a relaxed Pa3Ge3Ir2 crystal.

The space group is Pnma (No. 62) and the conventional cell measures 7.8041, 14.6384 and 5.7071 Å, with angles of 90.00, 90.00 and 90.00 degrees. The distinct sites, in fractional coordinates, are Pa at (0.0360, 0.1064, 0.1176), Pa at (0.1727, 0.2500, 0.6336), Ge at (0.1848, 0.7500, 0.6431), Ge at (0.1896, 0.0389, 0.5917) and Ir at (0.1022, 0.6141, 0.3747).

Its energy above the most stable polymorph in this dataset is 33 meV per atom.

***

# 10
A plane-wave DFT calculation with GGA-PBE was carried out for a relaxed Pa2Ge5Ir3 crystal.

The space group is Ibam (No. 72) and the conventional cell measures 10.1996, 11.6332 and 6.1814 Å, with angles of 90.00, 90.00 and 90.00 degrees. The distinct sites, in fractional coordinates, are Pa at (0.2253, 0.1366, 0.0000), Ge at (0.0000, 0.0000, 0.2500), Ge at (0.0000, 0.2771, 0.2500), Ge at (0.1581, 0.3998, 0.0000), Ir at (0.0000, 0.5000, 0.2500) and Ir at (0.1120, 0.1433, 0.5000).

Its energy above the most stable polymorph in this dataset is 32 meV per atom.

***

# 11
A plane-wave DFT calculation with GGA-PBE was carried out for a relaxed Pa8Ge2Ir crystal.

The space group is C2/m (No. 12) and the conventional cell measures 17.1065, 4.1626 and 7.3430 Å, with angles of 90.00, 97.38 and 90.00 degrees. The distinct sites, in fractional coordinates, are Pa at (0.0117, 0.0000, 0.2583), Pa at (0.0964, 0.5000, 0.4776), Pa at (0.1629, 0.5000, 0.0340), Pa at (0.2159, 0.0000, 0.3415), Ge at (0.1706, 0.0000, 0.7468) and Ir at (0.0000, 0.5000, 0.0000).

***

# 12
A plane-wave DFT calculation with GGA-PBE was carried out for a relaxed PaGe2Ir4 crystal.

The space group is Pnma (No. 62) and the conventional cell measures 16.7383, 4.1570 and 6.8815 Å, with angles of 90.00, 90.00 and 90.00 degrees. The distinct sites, in fractional coordinates, are Pa at (0.1450, 0.2500, 0.0429), Ge at (0.0302, 0.7500, 0.2607), Ge at (0.1988, 0.2500, 0.5891), Ir at (0.0443, 0.7500, 0.8974), Ir at (0.0597, 0.2500, 0.4484), Ir at (0.1784, 0.7500, 0.3661) and Ir at (0.2094, 0.7500, 0.7911).

***

Values for electronic total energy, eV/atom, ordered as above
-8.8015, -9.0451, -8.5430, -7.4760, -8.6460, -7.9420, -7.4943, -6.9153, -8.2049, -7.4436, -8.7854, -8.1814